! LiBN, optimized geometry, DFT PBE; values from VASP
! - E above lowest polymorph (eV per formula unit) = 0.00
! - E_form (uncorrected) (meV per atom) = -689
! - M_tot (Bohr magnetons per cell) = 0.0
&SYSTEM
  ibrav = 0, nat = 12, ntyp = 3
/
ATOMIC_SPECIES
Li 6.94 Li.upf
B 10.81 B.upf
N 14.01 N.upf
CELL_PARAMETERS angstrom
4.457 0.000 0.000
0.000 2.574 0.000
-1.468 0.000 9.791
ATOMIC_POSITIONS angstrom
Li 0.740 0.000 1.090
Li 0.021 1.287 8.701
Li 2.968 1.287 1.090
Li 2.250 0.000 8.701
B -0.005 1.287 3.169
B 0.766 0.000 6.622
B 2.224 0.000 3.169
B 2.995 1.287 6.622
N 0.023 1.287 6.590
N 0.739 0.000 3.201
N 2.251 0.000 6.590
N 2.967 1.287 3.201